VASP calculation (GGA-PBE) on an optimized crystal structure of Ac3SnRuCl.

Calculated values
Calculated total energy = -5.27 eV/atom
Fermi-level density of states = 0.27 states/eV per atom
Symmetry = No. 11
Total moment = 0.00 μB/f.u.
Formation energy from raw total energies = -698.6 meV per atom

Lattice parameters (Å, degrees): 7.937 4.981 10.339 90.00 99.01 90.00
Positions (direct):
Ac (0.079, 0.250, 0.382)
Ac (0.209, 0.250, 0.949)
Ac (0.405, 0.750, 0.640)
Ac (0.595, 0.250, 0.360)
Ac (0.791, 0.750, 0.051)
Ac (0.921, 0.750, 0.618)
Sn (0.201, 0.750, 0.211)
Sn (0.799, 0.250, 0.789)
Ru (0.141, 0.250, 0.665)
Ru (0.859, 0.750, 0.335)
Cl (0.411, 0.750, 0.920)
Cl (0.589, 0.250, 0.080)


VASP calculation (GGA-PBE) on an optimized crystal structure of Ac3TeRuCl.

Calculated values
Calculated total energy = -5.43 eV/atom
Fermi-level density of states = 0.44 states/eV per atom
Symmetry = No. 11
Total moment = 0.00 μB/f.u.
Formation energy from raw total energies = -1002.8 meV per atom

Lattice parameters (Å, degrees): 9.408 4.497 10.485 90.00 96.07 90.00
Positions (direct):
Ac (0.093, 0.250, 0.355)
Ac (0.172, 0.250, 0.914)
Ac (0.349, 0.750, 0.642)
Ac (0.651, 0.250, 0.358)
Ac (0.828, 0.750, 0.086)
Ac (0.907, 0.750, 0.645)
Te (0.370, 0.750, 0.321)
Te (0.630, 0.250, 0.679)
Ru (0.128, 0.250, 0.657)
Ru (0.872, 0.750, 0.343)
Cl (0.378, 0.750, 0.932)
Cl (0.622, 0.250, 0.068)


VASP calculation (GGA-PBE) on an optimized crystal structure of Ac6TlRu2Cl3.

Calculated values
Calculated total energy = -5.20 eV/atom
Fermi-level density of states = 0.57 states/eV per atom
Symmetry = No. 12
Total moment = 0.00 μB/f.u.
Formation energy from raw total energies = -943.1 meV per atom

Lattice parameters (Å, degrees): 7.722 7.722 8.343 98.69 98.69 120.07
Positions (direct):
Ac (0.059, 0.430, 0.790)
Ac (0.197, 0.197, 0.211)
Ac (0.430, 0.059, 0.790)
Ac (0.570, 0.941, 0.210)
Ac (0.803, 0.803, 0.789)
Ac (0.941, 0.570, 0.210)
Tl (0.500, 0.500, 0.000)
Ru (0.166, 0.834, 0.000)
Ru (0.834, 0.166, 0.000)
Cl (0.000, 0.000, 0.500)
Cl (0.328, 0.672, 0.500)
Cl (0.672, 0.328, 0.500)


VASP calculation (GGA-PBE) on an optimized crystal structure of Ac2SCl.

Calculated values
Calculated total energy = -4.93 eV/atom
Fermi-level density of states = 0.79 states/eV per atom
Symmetry = No. 123
Total moment = 0.00 μB/f.u.
Formation energy from raw total energies = -1380.1 meV per atom

Lattice parameters (Å, degrees): 3.766 3.766 7.555 90.00 90.00 90.00
Positions (direct):
Ac (0.000, 0.000, 0.239)
Ac (0.000, 0.000, 0.761)
S (0.500, 0.500, 0.000)
Cl (0.500, 0.500, 0.500)


Which of these has the lowest calculated total energy? Ac3TeRuCl


Look up the total moment of the second one. 0.00 μB/f.u.